Entry from Alexandria via LeMat-Bulk: a geometry-optimized V2GeAs2 structure (PBE).

As for the energy above the lowest structure with this stoichiometry: 0 meV per atom.

The space group is P4/mbm (No. 127) and the conventional cell measures 6.902, 6.902 and 3.262 Å, with angles of 90.00, 90.00 and 90.00 degrees. The distinct sites, in fractional coordinates, are V at (0.149, 0.351, 0.000), Ge at (0.000, 0.000, 0.000) and As at (0.145, 0.645, 0.500).

Entry from Alexandria via LeMat-Bulk: a geometry-optimized V12Ge6As structure (PBE).

The space group is R-3 (No. 148, hexagonal axes) and the conventional cell measures 10.5542, 10.5542 and 8.7772 Å, with angles of 90.00, 90.00 and 120.00 degrees. The distinct sites, in fractional coordinates, are V at (0.0138, 0.7601, 0.4892), V at (0.0565, 0.5552, 0.6134), Ge at (0.0695, 0.8876, 0.2197) and As at (0.0000, 0.0000, 0.5000).

| no. | DFT total energy (Ry/atom) | magnetic moment (μB/f.u.) | density of states at the Fermi level (states/eV per cell) |
| --- | --- | --- | --- |
| 1 | -0.48508 | 0.00 | 7.0 |
| 2 | -0.54504 | 0.00 | 42.4 |